[1]
Compound: MgB3Rh6
Source: Alexandria
Functional: PBE-GGA
Structure: relaxed

Lattice parameters (Å, degrees): 5.4686 5.4872 5.8982 90.16 117.37 120.28
Last column: nearest neighbours and their distance in Å.
Fractional positions:
Mg  0.8306  0.9143  0.7468  3 Rh 2.57
B  0.6647  0.3318  0.9995  6 Rh 2.11-2.14
B  0.3427  0.6710  0.0123  6 Rh 2.09-2.17
B  0.2713  0.1371  0.4071  6 Rh 2.09-2.23
Rh  0.3398  0.4339  0.7174  3 B 2.13-2.21
Rh  0.1521  0.7321  0.2267  3 B 2.09-2.13
Rh  0.8062  0.0795  0.2286  3 B 2.09-2.11
Rh  0.2767  0.8992  0.7143  3 B 2.14-2.23
Rh  0.8117  0.3725  0.7150  3 B 2.14-2.21
Rh  0.5042  0.4286  0.2324  3 B 2.09-2.12

Volume ... 129 Å³/f.u.
ΔE_f ... -28.48 kJ/mol of atoms
VASP energy ... -6.869 eV/atom


[2]
Compound: MgBRh3
Source: Alexandria
Functional: PBE-GGA
Structure: relaxed

Lattice parameters (Å, degrees): 5.1135 7.1025 8.0180 90.00 90.00 90.00
Last column: nearest neighbours and their distance in Å.
Fractional positions:
Mg  0.0000  0.0000  0.5000  10 Rh 2.77-3.10, 2 B 2.96
Mg  0.5000  0.5000  0.0000  10 Rh 2.77-3.10, 2 B 2.96
Mg  0.5000  0.0000  0.0000  10 Rh 2.77-3.10, 2 B 2.96
Mg  0.0000  0.5000  0.5000  10 Rh 2.77-3.10, 2 B 2.96
B  0.5406  0.2500  0.5403  4 Rh 2.08-2.15
B  0.9594  0.7500  0.0403  4 Rh 2.08-2.15
B  0.4594  0.7500  0.4597  4 Rh 2.08-2.15
B  0.0406  0.2500  0.9597  4 Rh 2.08-2.15
Rh  0.0072  0.9332  0.8406  1 B 2.08
Rh  0.4928  0.4332  0.3406  1 B 2.08
Rh  0.4928  0.0668  0.3406  1 B 2.08
Rh  0.9928  0.4332  0.1594  1 B 2.08
Rh  0.9928  0.0668  0.1594  1 B 2.08
Rh  0.5072  0.5668  0.6594  1 B 2.08
Rh  0.5072  0.9332  0.6594  1 B 2.08
Rh  0.0072  0.5668  0.8406  1 B 2.08
Rh  0.2414  0.2500  0.7286  2 B 2.12-2.15
Rh  0.2586  0.7500  0.2286  2 B 2.12-2.15
Rh  0.7586  0.7500  0.2714  2 B 2.12-2.15
Rh  0.7414  0.2500  0.7714  2 B 2.12-2.15

Volume ... 73 Å³/f.u.
ΔE_f ... -14.48 kJ/mol of atoms
VASP energy ... -6.215 eV/atom


[3]
Compound: Mg2BRh3
Source: Alexandria
Functional: PBE-GGA
Structure: relaxed

Lattice parameters (Å, degrees): 2.9493 4.6153 6.9776 109.31 102.20 90.00
Last column: nearest neighbours and their distance in Å.
Fractional positions:
Mg  0.6966  0.1966  0.3931  2 Rh 2.56
Mg  0.3034  0.8034  0.6069  2 Rh 2.56
B  0.0000  0.5000  0.0000  4 Rh 2.04
Rh  0.3898  0.3898  0.7796  2 B 2.04
Rh  0.0000  0.0000  0.0000  2 B 2.31
Rh  0.6102  0.6102  0.2204  2 B 2.04

Volume ... 87 Å³/f.u.
ΔE_f ... -28.69 kJ/mol of atoms
VASP energy ... -5.617 eV/atom


[4]
Compound: MgBRh3
Source: Alexandria
Functional: PBE-GGA
Structure: relaxed

Lattice parameters (Å, degrees): 5.8243 5.0026 5.6365 55.71 90.00 90.00
Last column: nearest neighbours and their distance in Å.
Fractional positions:
Mg  0.4603  0.9302  0.1253  1 B 2.42
Mg  0.9603  0.9302  0.1250  1 B 2.42
B  0.4604  0.5164  0.8319  5 Rh 1.99-2.07
B  0.9604  0.5163  0.8320  5 Rh 1.99-2.07
Rh  0.2104  0.4561  0.1193  2 B 2.07
Rh  0.2103  0.4559  0.6050  2 B 2.07
Rh  0.7104  0.4561  0.1193  2 B 2.07
Rh  0.4603  0.9980  0.5912  1 B 1.99
Rh  0.9603  0.9980  0.5911  1 B 1.99
Rh  0.7104  0.4559  0.6050  2 B 2.07

Volume ... 68 Å³/f.u.
ΔE_f ... -37.93 kJ/mol of atoms
VASP energy ... -6.458 eV/atom


[5]
Compound: MgBRh3
Source: Alexandria
Functional: PBE-GGA
Structure: relaxed

Lattice parameters (Å, degrees): 7.6817 7.6817 7.6817 60.00 60.00 60.00
Last column: nearest neighbours and their distance in Å.
Fractional positions:
Mg  0.6250  0.6250  0.6250  6 Rh 2.75
Mg  0.6250  0.1250  0.6250  6 Rh 2.75
Mg  0.1250  0.6250  0.6250  6 Rh 2.75
Mg  0.6250  0.6250  0.1250  6 Rh 2.75
B  0.1250  0.1250  0.1250  6 Rh 2.06
B  0.1250  0.6250  0.1250  6 Rh 2.06
B  0.6250  0.1250  0.1250  6 Rh 2.06
B  0.1250  0.1250  0.6250  6 Rh 2.06
Rh  0.8065  0.1935  0.1935  2 B 2.06
Rh  0.0565  0.4435  0.4435  2 B 2.06
Rh  0.4435  0.4435  0.0565  2 B 2.06
Rh  0.4435  0.0565  0.0565  2 B 2.06
Rh  0.0565  0.4435  0.0565  2 B 2.06
Rh  0.8065  0.1935  0.8065  2 B 2.06
Rh  0.4435  0.0565  0.4435  2 B 2.06
Rh  0.0565  0.0565  0.4435  2 B 2.06
Rh  0.1935  0.8065  0.1935  2 B 2.06
Rh  0.1935  0.8065  0.8065  2 B 2.06
Rh  0.1935  0.1935  0.8065  2 B 2.06
Rh  0.8065  0.8065  0.1935  2 B 2.06

Volume ... 80 Å³/f.u.
ΔE_f ... -8.83 kJ/mol of atoms
VASP energy ... -6.157 eV/atom


[6]
Compound: MgBRh3
Source: Alexandria
Functional: PBE-GGA
Structure: relaxed

Lattice parameters (Å, degrees): 4.2265 4.2265 8.4245 90.00 90.00 120.00
Last column: nearest neighbours and their distance in Å.
Fractional positions:
Mg  0.3333  0.6667  0.7500  3 Rh 2.44
Mg  0.6667  0.3333  0.2500  3 Rh 2.44
B  0.0000  0.0000  0.0000  2 Rh 2.11
B  0.0000  0.0000  0.5000  2 Rh 2.11
Rh  0.0000  0.0000  0.2500  2 B 2.11
Rh  0.0000  0.0000  0.7500  2 B 2.11
Rh  0.3333  0.6667  0.0802  3 B 2.53, 4 Mg 2.78-2.83, 6 Rh 2.79-2.83
Rh  0.3333  0.6667  0.4198  3 B 2.53, 4 Mg 2.78-2.83, 6 Rh 2.79-2.83
Rh  0.6667  0.3333  0.5802  3 B 2.53, 4 Mg 2.78-2.83, 6 Rh 2.79-2.83
Rh  0.6667  0.3333  0.9198  3 B 2.53, 4 Mg 2.78-2.83, 6 Rh 2.79-2.83

Volume ... 65 Å³/f.u.
ΔE_f ... -9.43 kJ/mol of atoms
VASP energy ... -6.163 eV/atom


[7]
Compound: MgB2Rh2
Source: Alexandria
Functional: PBE-GGA
Structure: relaxed

Lattice parameters (Å, degrees): 5.5061 4.9575 5.5150 101.25 93.76 118.63
Last column: nearest neighbours and their distance in Å.
Fractional positions:
Mg  0.0819  0.8341  0.1923  4 B 2.47-2.61
Mg  0.9181  0.1659  0.8077  4 B 2.47-2.61
B  0.4936  0.1708  0.9898  1 B 1.75
B  0.1848  0.3514  0.4737  4 Rh 2.02-2.12
B  0.5064  0.8292  0.0102  1 B 1.75
B  0.8152  0.6486  0.5263  4 Rh 2.02-2.12
Rh  0.7931  0.2289  0.3140  4 B 2.02-2.23
Rh  0.5220  0.4682  0.7492  4 B 2.05-2.13
Rh  0.4779  0.5318  0.2508  4 B 2.05-2.13
Rh  0.2069  0.7711  0.6860  4 B 2.02-2.23

Volume ... 64 Å³/f.u.
ΔE_f ... -33.32 kJ/mol of atoms
VASP energy ... -6.276 eV/atom


[8]
Compound: MgBRh3
Source: Alexandria
Functional: PBE-GGA
Structure: relaxed

Lattice parameters (Å, degrees): 5.6692 5.3349 5.3325 118.01 105.44 74.55
Last column: nearest neighbours and their distance in Å.
Fractional positions:
Mg  0.3531  0.0390  0.1413  6 Rh 2.75-2.78, 2 Mg 2.83, 2 B 3.04
Mg  0.8531  0.0390  0.1413  6 Rh 2.75-2.78, 2 Mg 2.83, 2 B 3.04
B  0.4293  0.3883  0.7919  6 Rh 2.12-2.20
B  0.9293  0.3883  0.7919  6 Rh 2.12-2.20
Rh  0.2187  0.5688  0.1302  2 B 2.12
Rh  0.2188  0.0503  0.6116  2 B 2.12
Rh  0.7187  0.5688  0.1302  2 B 2.12
Rh  0.5819  0.5827  0.5977  2 B 2.20
Rh  0.0819  0.5827  0.5977  2 B 2.20
Rh  0.7188  0.0503  0.6116  2 B 2.12

Volume ... 68 Å³/f.u.
ΔE_f ... -36.16 kJ/mol of atoms
VASP energy ... -6.440 eV/atom


[9]
Compound: MgB3Rh
Source: Alexandria
Functional: PBE-GGA
Structure: relaxed

Lattice parameters (Å, degrees): 4.1004 4.1004 4.1004 90.00 90.00 90.00
Last column: nearest neighbours and their distance in Å.
Fractional positions:
Mg  0.5000  0.5000  0.5000  12 B 2.90
B  0.0000  0.5000  0.0000  2 Rh 2.05
B  0.0000  0.0000  0.5000  2 Rh 2.05
B  0.5000  0.0000  0.0000  2 Rh 2.05
Rh  0.0000  0.0000  0.0000  6 B 2.05

Volume ... 69 Å³/f.u.
ΔE_f ... 93.15 kJ/mol of atoms
VASP energy ... -4.830 eV/atom


[10]
Compound: MgB5Rh6
Source: Alexandria
Functional: PBE-GGA
Structure: relaxed

Lattice parameters (Å, degrees): 5.8092 6.5828 5.3601 110.76 104.35 118.62
Last column: nearest neighbours and their distance in Å.
Fractional positions:
Mg  0.0000  0.0000  0.0000  2 B 2.60, 4 Rh 2.79
B  0.3957  0.8957  0.7915  1 B 1.80
B  0.6983  0.6983  0.3966  6 Rh 2.05-2.25
B  0.0000  0.5000  0.0000  6 Rh 2.10-2.27
B  0.3017  0.3017  0.6034  6 Rh 2.05-2.25
B  0.6043  0.1043  0.2085  1 B 1.80
Rh  0.3118  0.5645  0.4241  4 B 2.05-2.27
Rh  0.1123  0.8597  0.4241  4 B 2.05-2.27
Rh  0.5888  0.3262  0.0000  5 B 2.10-2.25
Rh  0.4112  0.6738  0.0000  5 B 2.10-2.25
Rh  0.8877  0.1403  0.5759  4 B 2.05-2.27
Rh  0.6882  0.4355  0.5759  4 B 2.05-2.27

Volume ... 145 Å³/f.u.
ΔE_f ... -35.32 kJ/mol of atoms
VASP energy ... -6.957 eV/atom